1.
First-principles (GGA-PBE) data for crystalline LaCePm at its relaxed geometry, as listed in the Alexandria database.

Properties
E above lowest polymorph: 0.158 eV/atom
crystal system: orthorhombic

Cell lengths 6.621, 3.436, 8.608 Å; angles 90.00, 90.00, 90.00 degrees
Positions (direct):
La (0.250, 0.000, 0.156)
La (0.750, 0.000, 0.844)
Ce (0.250, 0.500, 0.846)
Ce (0.750, 0.500, 0.154)
Pm (0.000, 0.500, 0.500)
Pm (0.500, 0.500, 0.500)

***

2.
First-principles (GGA-PBE) data for crystalline La5CePm8 at its relaxed geometry, as listed in the Alexandria database.

Properties
energy: -65.677 eV per formula unit
crystal system: tetragonal

Cell lengths 8.636, 8.636, 8.636 Å; angles 111.66, 111.66, 105.18 degrees
Positions (direct):
La (0.000, 0.000, 0.000)
La (0.037, 0.209, 0.616)
La (0.579, 0.963, 0.172)
La (0.593, 0.421, 0.384)
La (0.791, 0.407, 0.828)
Ce (0.250, 0.750, 0.500)
Pm (0.088, 0.696, 0.747)
Pm (0.283, 0.546, 0.106)
Pm (0.304, 0.051, 0.392)
Pm (0.440, 0.177, 0.894)
Pm (0.454, 0.560, 0.736)
Pm (0.659, 0.912, 0.608)
Pm (0.823, 0.717, 0.264)
Pm (0.949, 0.341, 0.253)

***

3.
First-principles (GGA-PBE) data for crystalline La5CePm4 at its relaxed geometry, as listed in the Alexandria database.

Properties
energy: -49.108 eV per formula unit
crystal system: monoclinic

Cell lengths 9.016, 9.016, 11.697 Å; angles 109.03, 109.03, 23.22 degrees
Positions (direct):
La (0.000, 0.000, 0.000)
La (0.297, 0.297, 0.394)
La (0.308, 0.308, 0.913)
La (0.692, 0.692, 0.087)
La (0.703, 0.703, 0.606)
Ce (0.000, 0.000, 0.500)
Pm (0.104, 0.104, 0.795)
Pm (0.416, 0.416, 0.703)
Pm (0.584, 0.584, 0.297)
Pm (0.896, 0.896, 0.205)

***

4.
First-principles (GGA-PBE) data for crystalline LaCePm at its relaxed geometry, as listed in the Alexandria database.

Properties
E above lowest polymorph: 0.104 eV/atom
crystal system: triclinic

Cell lengths 3.493, 5.961, 9.848 Å; angles 107.44, 100.20, 90.02 degrees
Positions (direct):
La (0.000, 0.000, 0.000)
La (0.062, 0.562, 0.124)
Ce (0.223, 0.712, 0.449)
Ce (0.836, 0.855, 0.675)
Pm (0.379, 0.388, 0.756)
Pm (0.683, 0.179, 0.368)

***

Number 1: Fermi-level density of states 15.6 states/eV per cell, total magnetic moment 1.63 μB/cell. Number 2: Fermi-level density of states 24.4 states/eV per cell, total magnetic moment 0.36 μB/cell. Number 3: Fermi-level density of states 16.0 states/eV per cell, total magnetic moment 1.02 μB/cell. Number 4: Fermi-level density of states 11.0 states/eV per cell, total magnetic moment 0.00 μB/cell.